Entry 1:
# BaFePb2

A geometry-optimized BaFePb2 structure (PBE-GGA, the Alexandria database).

a = 3.6299 Å, b = 6.2303 Å, c = 10.5106 Å
α = 90.00°, β = 90.00°, γ = 90.00°
Last column: nearest neighbours and their distance in Å.
Element x y z (fractional)
Ba1 0.0000 0.0000 0.0000  4 Fe 3.61, 8 Pb 3.62-3.77, 2 Ba 3.63
Ba2 0.5000 0.5000 0.5000  4 Fe 3.61, 8 Pb 3.62-3.77, 2 Ba 3.63
Fe1 0.0000 0.0000 0.5000  4 Pb 2.79
Fe2 0.5000 0.5000 0.0000  4 Pb 2.79
Pb1 0.0000 0.5000 0.2020  2 Fe 2.79
Pb2 0.0000 0.5000 0.7980  2 Fe 2.79
Pb3 0.5000 0.0000 0.2980  2 Fe 2.79
Pb4 0.5000 0.0000 0.7020  2 Fe 2.79

Results
- Symmetry: No. 71

---

Entry 2:
# BaFePb2

A geometry-optimized BaFePb2 structure (PBE-GGA, the Alexandria database).

a = 3.6494 Å, b = 3.6494 Å, c = 8.2901 Å
α = 90.00°, β = 90.00°, γ = 90.00°
Last column: nearest neighbours and their distance in Å.
Element x y z (fractional)
Ba1 0.0000 0.0000 0.0000  8 Pb 3.65, 4 Ba 3.65
Fe1 0.0000 0.0000 0.5000  8 Pb 3.02
Pb1 0.5000 0.5000 0.3111  4 Fe 3.02, 1 Pb 3.13
Pb2 0.5000 0.5000 0.6889  4 Fe 3.02, 1 Pb 3.13

Results
- Symmetry: No. 123

---

no.,energy of formation from the pure elements (eV/atom),DOS at the Fermi energy (states/eV/cell)
1,0.17,7.6
2,0.16,5.0